This record from OQMD via LeMat-Bulk describes crystalline Pr3MgHg2Ir2Au at its relaxed geometry. The functional is PBE.

Lattice parameters (Å, degrees): 4.0376 7.8111 7.8111 121.23 90.00 90.00
Atoms (fractional coordinates):
Au (0.0000, 0.9776, 0.9776)
Hg (0.5000, 0.2605, 0.9973)
Hg (0.5000, 0.9973, 0.2605)
Mg (0.5000, 0.7417, 0.7417)
Pr (0.0000, 0.0039, 0.5858)
Pr (0.0000, 0.5858, 0.0039)
Pr (0.0000, 0.4052, 0.4052)
Ir (0.5000, 0.6735, 0.3544)
Ir (0.5000, 0.3544, 0.6735)

SG = No. 38
Calculated total energy = -4.741 eV per atom
Crystal system = orthorhombic
Total magnetic moment = 0.00 μB/f.u.